Below is a PBEsol-optimized structure of Th2BiN2, with properties calculated at the SCAN level.

## Properties
- Raw formation energy: -819 kJ/mol of formula units
- Total magnetization: 0.000 Bohr magnetons per cell
- Volume: 113.2 Å³/cell

Lattice parameters (Å, degrees): 4.036 4.036 7.512 105.58 105.58 90.00
Fractional positions:
Bi 0.000 0.000 0.000
Th 0.667 0.667 0.335
Th 0.333 0.333 0.665
N 0.750 0.250 0.500
N 0.250 0.750 0.500